First-principles (PBE) data for crystalline NdSbAu at its relaxed geometry, as listed in OQMD.

Geometry as CIF:
```
data_NdSbAu
_chemical_formula_sum 'Nd4 Sb4 Au4'
_symmetry_space_group_name_H-M 'P 1'
_symmetry_Int_Tables_number 1
_cell_length_a 4.6407
_cell_length_b 4.6407
_cell_length_c 16.6127
_cell_angle_alpha 90.00
_cell_angle_beta 90.00
_cell_angle_gamma 120.00
loop_
_symmetry_equiv_pos_as_xyz
'x,y,z'
loop_
_atom_site_label
_atom_site_type_symbol
_atom_site_fract_x
_atom_site_fract_y
_atom_site_fract_z
Au1 Au 0.6667 0.3333 0.1595
Au2 Au 0.3333 0.6667 0.6595
Au3 Au 0.6667 0.3333 0.3405
Au4 Au 0.3333 0.6667 0.8405
Sb1 Sb 0.6667 0.3333 0.8904
Sb2 Sb 0.3333 0.6667 0.1096
Sb3 Sb 0.6667 0.3333 0.6096
Sb4 Sb 0.3333 0.6667 0.3904
Nd1 Nd 0.0000 0.0000 0.2500
Nd2 Nd 0.0000 0.0000 0.0000
Nd3 Nd 0.0000 0.0000 0.7500
Nd4 Nd 0.0000 0.0000 0.5000
```

- Total magnetic moment: 0.0 μB per cell
- VASP energy: -14.9 eV per formula unit
- Calculated density: 9.92 g/cm³